1.
An optimized crystal structure of HfNCl3, computed with PBE-GGA.

E_tot in eV per atom: -4.9494
Formation energy from raw total energies in eV/atom: -0.186
Polymorph energy (0 for the lowest one) in meV/atom: 0
Symmetry: No. 221

Unit cell a=4.9673 b=4.9673 c=4.9673 alpha=90.00 beta=90.00 gamma=90.00
Closest atoms and distances in Å follow each position.
Element x y z (fractional)
N (0.5000, 0.5000, 0.5000)  12 Cl 3.51
Hf (0.0000, 0.0000, 0.0000)  6 Cl 2.48
Cl (0.0000, 0.5000, 0.0000)  2 Hf 2.48
Cl (0.0000, 0.0000, 0.5000)  2 Hf 2.48
Cl (0.5000, 0.0000, 0.0000)  2 Hf 2.48

2.
An optimized crystal structure of NaHf3N3Cl3, computed with PBE-GGA.

E_tot in eV per atom: -7.8855
Formation energy from raw total energies in eV/atom: -1.716
Symmetry: No. 12

Unit cell a=6.3231 b=6.3231 c=10.3694 alpha=84.16 beta=84.16 gamma=119.88
Closest atoms and distances in Å follow each position.
Element x y z (fractional)
Na (0.3315, 0.6685, 0.0000)  6 Cl 2.76-2.83
Na (0.6685, 0.3315, 0.0000)  6 Cl 2.76-2.83
Hf (0.2128, 0.2128, 0.3834)  4 N 2.12-2.13
Hf (0.8651, 0.5382, 0.3827)  4 N 2.12-2.13
Hf (0.5382, 0.8651, 0.3827)  4 N 2.12-2.13
Hf (0.4618, 0.1349, 0.6173)  4 N 2.12-2.13
Hf (0.1349, 0.4618, 0.6173)  4 N 2.12-2.13
Hf (0.7872, 0.7872, 0.6166)  4 N 2.12-2.13
N (0.1277, 0.1277, 0.5922)  4 Hf 2.12-2.13
N (0.8109, 0.4695, 0.5909)  4 Hf 2.12-2.13
N (0.4695, 0.8109, 0.5909)  4 Hf 2.12-2.13
N (0.5305, 0.1891, 0.4091)  4 Hf 2.12-2.13
N (0.1891, 0.5305, 0.4091)  4 Hf 2.12-2.13
N (0.8723, 0.8723, 0.4078)  4 Hf 2.12-2.13
Cl (0.7208, 0.0573, 0.8217)  2 Na 2.76, 3 Hf 2.95-3.00
Cl (0.3971, 0.3971, 0.8147)  2 Na 2.83, 3 Hf 2.87-2.88, 3 N 3.13-3.14
Cl (0.0573, 0.7208, 0.8217)  2 Na 2.76, 3 Hf 2.95-3.00
Cl (0.9427, 0.2792, 0.1783)  2 Na 2.76, 3 Hf 2.95-3.00
Cl (0.6029, 0.6029, 0.1853)  2 Na 2.83, 3 Hf 2.87-2.88, 3 N 3.13-3.14
Cl (0.2792, 0.9427, 0.1783)  2 Na 2.76, 3 Hf 2.95-3.00

3.
An optimized crystal structure of NaHf8N8Cl8, computed with PBE-GGA.

E_tot in eV per atom: -8.3128
Formation energy from raw total energies in eV/atom: -1.820
Symmetry: No. 10

Unit cell a=3.6306 b=6.2275 c=20.1774 alpha=84.56 beta=90.00 gamma=90.00
Closest atoms and distances in Å follow each position.
Element x y z (fractional)
Na (0.0000, 0.0000, 0.0000)  6 Cl 2.80-2.81
Hf (0.5000, 0.6056, 0.6810)  4 N 2.13-2.18
Hf (0.0000, 0.1044, 0.6816)  4 N 2.13-2.18
Hf (0.5000, 0.3944, 0.3190)  4 N 2.13-2.18
Hf (0.0000, 0.8956, 0.3184)  4 N 2.13-2.18
Hf (0.0000, 0.4021, 0.8059)  4 N 2.09-2.11
Hf (0.5000, 0.8994, 0.8073)  4 N 2.11-2.12
Hf (0.0000, 0.5979, 0.1941)  4 N 2.09-2.11
Hf (0.5000, 0.1006, 0.1927)  4 N 2.11-2.12
N (0.5000, 0.5691, 0.7897)  4 Hf 2.10-2.18
N (0.0000, 0.0719, 0.7903)  4 Hf 2.11-2.18
N (0.5000, 0.4309, 0.2103)  4 Hf 2.10-2.18
N (0.0000, 0.9281, 0.2097)  4 Hf 2.11-2.18
N (0.0000, 0.4336, 0.7016)  4 Hf 2.09-2.13
N (0.5000, 0.9336, 0.7023)  4 Hf 2.11-2.13
N (0.0000, 0.5664, 0.2984)  4 Hf 2.09-2.13
N (0.5000, 0.0664, 0.2977)  4 Hf 2.11-2.13
Cl (0.5000, 0.8029, 0.0920)  2 Na 2.80, 3 Hf 2.88-2.94
Cl (0.0000, 0.2988, 0.0962)  1 Na 2.81, 3 Hf 2.84-2.86, 3 N 3.09-3.10
Cl (0.5000, 0.1971, 0.9080)  2 Na 2.80, 3 Hf 2.88-2.94
Cl (0.0000, 0.7012, 0.9038)  1 Na 2.81, 3 Hf 2.84-2.86, 3 N 3.09-3.10
Cl (0.5000, 0.6992, 0.4087)  3 Hf 2.74-2.77, 3 N 3.05
Cl (0.0000, 0.1985, 0.4088)  3 Hf 2.74-2.76, 3 N 3.04-3.06
Cl (0.5000, 0.3008, 0.5913)  3 Hf 2.74-2.77, 3 N 3.05
Cl (0.0000, 0.8015, 0.5912)  3 Hf 2.74-2.76, 3 N 3.04-3.06

4.
An optimized crystal structure of NaHf6N6Cl6, computed with PBE-GGA.

E_tot in eV per atom: -8.2389
Formation energy from raw total energies in eV/atom: -1.814
Symmetry: No. 12

Unit cell a=6.2654 b=6.2654 c=10.4274 alpha=84.25 beta=84.25 gamma=120.00
Closest atoms and distances in Å follow each position.
Element x y z (fractional)
Na (0.0000, 0.0000, 0.0000)  6 Cl 2.84
Hf (0.2068, 0.2068, 0.3778)  4 N 2.12-2.13
Hf (0.5411, 0.8739, 0.3783)  4 N 2.12-2.14
Hf (0.8739, 0.5411, 0.3783)  4 N 2.12-2.14
Hf (0.1261, 0.4589, 0.6217)  4 N 2.12-2.14
Hf (0.4589, 0.1261, 0.6217)  4 N 2.12-2.14
Hf (0.7932, 0.7932, 0.6222)  4 N 2.12-2.13
N (0.1379, 0.1379, 0.5864)  4 Hf 2.12-2.13
N (0.4707, 0.8042, 0.5875)  4 Hf 2.12-2.14
N (0.8042, 0.4707, 0.5875)  4 Hf 2.12-2.14
N (0.1958, 0.5293, 0.4125)  4 Hf 2.12-2.14
N (0.5293, 0.1958, 0.4125)  4 Hf 2.12-2.14
N (0.8621, 0.8621, 0.4136)  4 Hf 2.12-2.13
Cl (0.0634, 0.7325, 0.8099)  3 Hf 2.83-2.85, 1 Na 2.84, 3 N 3.08-3.09
Cl (0.3942, 0.3942, 0.8099)  3 Hf 2.83-2.85, 1 Na 2.84, 3 N 3.08-3.09
Cl (0.7325, 0.0634, 0.8099)  3 Hf 2.83-2.85, 1 Na 2.84, 3 N 3.08-3.09
Cl (0.2675, 0.9366, 0.1901)  3 Hf 2.83-2.85, 1 Na 2.84, 3 N 3.08-3.09
Cl (0.6058, 0.6058, 0.1901)  3 Hf 2.83-2.85, 1 Na 2.84, 3 N 3.08-3.09
Cl (0.9366, 0.2675, 0.1901)  3 Hf 2.83-2.85, 1 Na 2.84, 3 N 3.08-3.09

5.
An optimized crystal structure of HfPNCl2, computed with PBE-GGA.

E_tot in eV per atom: -5.1141
Formation energy from raw total energies in eV/atom: 0.362
Polymorph energy (0 for the lowest one) in meV/atom: 0
Symmetry: No. 123

Unit cell a=4.9874 b=4.9874 c=5.1032 alpha=90.00 beta=90.00 gamma=90.00
Closest atoms and distances in Å follow each position.
Element x y z (fractional)
P (0.0000, 0.0000, 0.5000)  2 Hf 2.55
N (0.5000, 0.5000, 0.5000)  4 P 3.53, 8 Cl 3.57
Hf (0.0000, 0.0000, 0.0000)  4 Cl 2.49, 2 P 2.55
Cl (0.0000, 0.5000, 0.0000)  2 Hf 2.49
Cl (0.5000, 0.0000, 0.0000)  2 Hf 2.49

6.
An optimized crystal structure of HfPNCl2, computed with PBE-GGA.

E_tot in eV per atom: -4.7249
Formation energy from raw total energies in eV/atom: 0.751
Polymorph energy (0 for the lowest one) in meV/atom: 389
Symmetry: No. 123

Unit cell a=4.3034 b=4.3034 c=4.2082 alpha=90.00 beta=90.00 gamma=90.00
Closest atoms and distances in Å follow each position.
Element x y z (fractional)
P (0.0000, 0.0000, 0.5000)  2 N 2.10
N (0.0000, 0.0000, 0.0000)  2 P 2.10, 4 Cl 2.15
Hf (0.5000, 0.5000, 0.5000)  8 Cl 3.01, 4 P 3.04
Cl (0.0000, 0.5000, 0.0000)  2 N 2.15
Cl (0.5000, 0.0000, 0.0000)  2 N 2.15

7.
An optimized crystal structure of HfPt2NCl, computed with PBE-GGA.

E_tot in eV per atom: -5.2229
Formation energy from raw total energies in eV/atom: 1.219
Symmetry: No. 123

Unit cell a=5.0401 b=5.0158 c=5.0401 alpha=90.00 beta=90.00 gamma=90.00
Closest atoms and distances in Å follow each position.
Element x y z (fractional)
N (0.5000, 0.5000, 0.5000)  8 Pt 3.56, 4 Cl 3.56
Hf (0.0000, 0.0000, 0.0000)  2 Cl 2.51, 4 Pt 2.52
Pt (0.0000, 0.0000, 0.5000)  2 Hf 2.52
Pt (0.5000, 0.0000, 0.0000)  2 Hf 2.52
Cl (0.0000, 0.5000, 0.0000)  2 Hf 2.51

8.
An optimized crystal structure of HfSNCl2, computed with PBE-GGA.

E_tot in eV per atom: -4.4634
Formation energy from raw total energies in eV/atom: 0.756
Polymorph energy (0 for the lowest one) in meV/atom: 881
Symmetry: No. 123

Unit cell a=4.3067 b=4.3067 c=4.2312 alpha=90.00 beta=90.00 gamma=90.00
Closest atoms and distances in Å follow each position.
Element x y z (fractional)
S (0.0000, 0.0000, 0.5000)  2 N 2.12
N (0.0000, 0.0000, 0.0000)  2 S 2.12, 4 Cl 2.15
Hf (0.5000, 0.5000, 0.5000)  8 Cl 3.02, 4 S 3.05
Cl (0.0000, 0.5000, 0.0000)  2 N 2.15
Cl (0.5000, 0.0000, 0.0000)  2 N 2.15

9.
An optimized crystal structure of HfSN2Cl, computed with PBE-GGA.

E_tot in eV per atom: -5.1582
Formation energy from raw total energies in eV/atom: 1.357
Polymorph energy (0 for the lowest one) in meV/atom: 796
Symmetry: No. 123

Unit cell a=3.8797 b=3.8797 c=4.3697 alpha=90.00 beta=90.00 gamma=90.00
Closest atoms and distances in Å follow each position.
Element x y z (fractional)
S (0.0000, 0.0000, 0.5000)  2 Cl 2.18
N (0.0000, 0.5000, 0.0000)  2 Cl 1.94
N (0.5000, 0.0000, 0.0000)  2 Cl 1.94
Hf (0.5000, 0.5000, 0.5000)  4 S 2.74, 8 N 2.92
Cl (0.0000, 0.0000, 0.0000)  4 N 1.94

10.
An optimized crystal structure of HfSNCl2, computed with PBE-GGA.

E_tot in eV per atom: -5.3443
Formation energy from raw total energies in eV/atom: -0.124
Polymorph energy (0 for the lowest one) in meV/atom: 0
Symmetry: No. 123

Unit cell a=5.0573 b=5.0573 c=4.8494 alpha=90.00 beta=90.00 gamma=90.00
Closest atoms and distances in Å follow each position.
Element x y z (fractional)
S (0.0000, 0.0000, 0.5000)  2 Hf 2.42
N (0.5000, 0.5000, 0.5000)  8 Cl 3.50, 4 S 3.58
Hf (0.0000, 0.0000, 0.0000)  2 S 2.42, 4 Cl 2.53
Cl (0.0000, 0.5000, 0.0000)  2 Hf 2.53
Cl (0.5000, 0.0000, 0.0000)  2 Hf 2.53

11.
An optimized crystal structure of HfSN2Cl, computed with PBE-GGA.

E_tot in eV per atom: -5.9546
Formation energy from raw total energies in eV/atom: 0.561
Polymorph energy (0 for the lowest one) in meV/atom: 0
Symmetry: No. 123

Unit cell a=4.1642 b=4.1642 c=5.3347 alpha=90.00 beta=90.00 gamma=90.00
Closest atoms and distances in Å follow each position.
Element x y z (fractional)
S (0.0000, 0.0000, 0.5000)  2 Hf 2.67, 4 Cl 2.94
N (0.0000, 0.5000, 0.0000)  2 Hf 2.08
N (0.5000, 0.0000, 0.0000)  2 Hf 2.08
Hf (0.0000, 0.0000, 0.0000)  4 N 2.08
Cl (0.5000, 0.5000, 0.5000)  4 S 2.94

12.
An optimized crystal structure of HfSeN2Cl, computed with PBE-GGA.

E_tot in eV per atom: -4.8801
Formation energy from raw total energies in eV/atom: 1.507
Polymorph energy (0 for the lowest one) in meV/atom: 1061
Symmetry: No. 123

Unit cell a=3.9642 b=3.9642 c=4.5988 alpha=90.00 beta=90.00 gamma=90.00
Closest atoms and distances in Å follow each position.
Element x y z (fractional)
N (0.0000, 0.5000, 0.0000)  2 Cl 1.98
N (0.5000, 0.0000, 0.0000)  2 Cl 1.98
Hf (0.5000, 0.5000, 0.5000)  4 Se 2.80, 8 N 3.04
Se (0.0000, 0.0000, 0.5000)  2 Cl 2.30
Cl (0.0000, 0.0000, 0.0000)  4 N 1.98